1.
## Sr2Tl2Cd (PBE)

Data for a relaxed Sr2Tl2Cd crystal.

Final energy = -1.974 eV per atom
ΔE to the lowest computed polymorph = 186.2 meV per atom
Space-group type = P4/mbm (127)

a b c (Å): 9.326 9.326 4.195
angles (deg): 90.00 90.00 90.00
Fractional positions:
Sr 0.333 0.833 0.000
Sr 0.833 0.667 0.000
Sr 0.667 0.167 0.000
Sr 0.167 0.333 0.000
Tl 0.130 0.630 0.500
Tl 0.630 0.870 0.500
Tl 0.870 0.370 0.500
Tl 0.370 0.130 0.500
Cd 0.000 0.000 0.000
Cd 0.500 0.500 0.000

=====

2.
## SrTl3Cd2 (PBE)

Data for a relaxed SrTl3Cd2 crystal.

Final energy = -1.899 eV per atom
ΔE to the lowest computed polymorph = 0.0 meV per atom
Space-group type = R-3m (166)

a b c (Å): 7.016 7.016 9.160
angles (deg): 67.48 67.48 60.00
Fractional positions:
Sr 0.785 0.785 0.644
Sr 0.215 0.215 0.356
Tl 0.241 0.727 0.304
Tl 0.727 0.241 0.304
Tl 0.727 0.727 0.304
Tl 0.273 0.759 0.696
Tl 0.759 0.273 0.696
Tl 0.273 0.273 0.696
Cd 0.000 0.000 0.000
Cd 0.000 0.500 0.000
Cd 0.500 0.500 0.000
Cd 0.500 0.000 0.000

=====

3.
## Sr5Tl6Cd (PBE)

Data for a relaxed Sr5Tl6Cd crystal.

Final energy = -2.313 eV per atom
Space-group type = Cmmm (65)

a b c (Å): 5.728 8.072 8.995
angles (deg): 90.00 71.43 90.00
Fractional positions:
Sr 0.672 0.500 0.656
Sr 0.337 0.000 0.326
Sr 0.000 0.500 0.000
Sr 0.663 0.000 0.674
Sr 0.328 0.500 0.344
Tl 0.841 0.768 0.318
Tl 0.841 0.232 0.318
Tl 0.500 0.240 0.000
Tl 0.500 0.760 0.000
Tl 0.159 0.768 0.682
Tl 0.159 0.232 0.682
Cd 0.000 0.000 0.000

=====

4.
## Sr8Tl2Cd (PBE)

Data for a relaxed Sr8Tl2Cd crystal.

Final energy = -1.973 eV per atom
ΔE to the lowest computed polymorph = 0.0 meV per atom
Space-group type = C2/m (12)

a b c (Å): 5.806 8.182 10.692
angles (deg): 108.47 105.76 90.00
Fractional positions:
Sr 0.403 0.548 0.806
Sr 0.668 0.960 0.336
Sr 0.799 0.693 0.598
Sr 0.970 0.213 0.939
Sr 0.201 0.307 0.402
Sr 0.332 0.040 0.664
Sr 0.597 0.452 0.194
Sr 0.030 0.787 0.061
Tl 0.818 0.298 0.636
Tl 0.182 0.702 0.364
Cd 0.500 0.000 0.000

=====

5.
## SrTlCd3 (PBE)

Data for a relaxed SrTlCd3 crystal.

Final energy = -1.560 eV per atom
ΔE to the lowest computed polymorph = 0.0 meV per atom
Space-group type = Pnna (52)

a b c (Å): 6.593 6.589 13.211
angles (deg): 90.00 90.00 90.00
Fractional positions:
Sr 0.489 0.500 0.250
Sr 0.511 0.500 0.750
Sr 0.011 0.000 0.250
Sr 0.989 0.000 0.750
Tl 0.250 0.250 0.008
Tl 0.750 0.750 0.992
Tl 0.250 0.750 0.492
Tl 0.750 0.250 0.508
Cd 0.250 0.250 0.494
Cd 0.750 0.750 0.506
Cd 0.250 0.750 0.006
Cd 0.750 0.250 0.994
Cd 0.984 0.503 0.144
Cd 0.016 0.497 0.856
Cd 0.984 0.497 0.356
Cd 0.516 0.003 0.356
Cd 0.016 0.503 0.644
Cd 0.484 0.997 0.644
Cd 0.516 0.997 0.144
Cd 0.484 0.003 0.856

=====

6.
## Sr2TlCd (PBE)

Data for a relaxed Sr2TlCd crystal.

Final energy = -1.749 eV per atom
Space-group type = I-42d (122)

a b c (Å): 9.015 9.015 7.457
angles (deg): 52.81 52.81 90.00
Fractional positions:
Sr 0.623 0.125 0.250
Sr 0.127 0.625 0.250
Sr 0.375 0.377 0.750
Sr 0.875 0.873 0.750
Tl 0.000 0.000 0.000
Tl 0.750 0.250 0.500
Cd 0.500 0.500 0.000
Cd 0.250 0.750 0.500

=====

7.
## Sr5Tl4Cd (PBE)

Data for a relaxed Sr5Tl4Cd crystal.

Final energy = -2.290 eV per atom
Space-group type = P4/mmm (123)

a b c (Å): 4.082 4.082 20.596
angles (deg): 90.00 90.00 90.00
Fractional positions:
Sr 0.500 0.500 0.099
Sr 0.500 0.500 0.299
Sr 0.500 0.500 0.500
Sr 0.500 0.500 0.701
Sr 0.500 0.500 0.901
Tl 0.000 0.000 0.200
Tl 0.000 0.000 0.399
Tl 0.000 0.000 0.601
Tl 0.000 0.000 0.800
Cd 0.000 0.000 0.000

=====

8.
## SrTl2Cd3 (PBE)

Data for a relaxed SrTl2Cd3 crystal.

Final energy = -1.666 eV per atom
ΔE to the lowest computed polymorph = 35.6 meV per atom
Space-group type = P-1 (2)

a b c (Å): 4.724 8.517 9.676
angles (deg): 103.57 104.82 106.13
Fractional positions:
Sr 0.029 0.890 0.169
Sr 0.971 0.110 0.831
Tl 0.319 0.770 0.876
Tl 0.681 0.230 0.124
Tl 0.354 0.142 0.570
Tl 0.646 0.858 0.430
Cd 0.330 0.545 0.113
Cd 0.649 0.654 0.651
Cd 0.998 0.603 0.391
Cd 0.002 0.397 0.609
Cd 0.351 0.346 0.349
Cd 0.670 0.455 0.887

=====

9.
## Sr2TlCd (PBE)

Data for a relaxed Sr2TlCd crystal.

Final energy = -1.883 eV per atom
Space-group type = P4mm (99)

a b c (Å): 4.254 4.251 8.196
angles (deg): 90.00 90.00 90.00
Fractional positions:
Cd 0.500 0.500 0.734
Sr 0.000 0.000 0.939
Sr 0.500 0.500 0.306
Tl 0.000 0.000 0.520

=====

10.
## Sr3Tl8Cd3 (PBE)

Data for a relaxed Sr3Tl8Cd3 crystal.

Final energy = -2.118 eV per atom
Space-group type = Immm (71)

a b c (Å): 5.099 9.567 9.567
angles (deg): 75.07 74.55 74.55
Fractional positions:
Sr 0.500 0.500 0.500
Sr 0.789 0.211 0.211
Sr 0.211 0.789 0.789
Tl 0.645 0.065 0.646
Tl 0.355 0.935 0.354
Tl 0.645 0.646 0.065
Tl 0.355 0.354 0.935
Tl 0.864 0.771 0.500
Tl 0.136 0.229 0.500
Tl 0.864 0.500 0.771
Tl 0.136 0.500 0.229
Cd 0.500 0.000 0.000
Cd 0.000 0.851 0.149
Cd 0.000 0.149 0.851

=====

11.
## SrTl2Cd2 (PBE)

Data for a relaxed SrTl2Cd2 crystal.

Final energy = -1.823 eV per atom
ΔE to the lowest computed polymorph = 22.0 meV per atom
Space-group type = Cmcm (63)

a b c (Å): 4.510 7.382 9.600
angles (deg): 90.00 90.01 107.79
Fractional positions:
Sr 0.087 0.174 0.750
Sr 0.913 0.826 0.250
Tl 0.410 0.821 0.912
Tl 0.590 0.179 0.412
Tl 0.590 0.179 0.088
Tl 0.410 0.821 0.588
Cd 0.235 0.471 0.397
Cd 0.765 0.529 0.897
Cd 0.235 0.471 0.103
Cd 0.765 0.529 0.603

=====

12.
## SrTl2Cd9 (PBE)

Data for a relaxed SrTl2Cd9 crystal.

Final energy = -1.319 eV per atom
Space-group type = R-3m (166)

a b c (Å): 6.077 6.077 10.324
angles (deg): 72.88 72.88 60.00
Fractional positions:
Sr 0.000 0.000 0.000
Tl 0.858 0.858 0.425
Tl 0.142 0.142 0.575
Cd 0.666 0.666 0.001
Cd 0.334 0.334 0.999
Cd 0.500 0.500 0.500
Cd 0.413 0.413 0.254
Cd 0.920 0.413 0.254
Cd 0.413 0.920 0.254
Cd 0.587 0.587 0.746
Cd 0.587 0.080 0.746
Cd 0.080 0.587 0.746

=====

13.
## SrTl2Cd2 (PBE)

Data for a relaxed SrTl2Cd2 crystal.

Final energy = -1.845 eV per atom
ΔE to the lowest computed polymorph = 0.0 meV per atom
Space-group type = I4/mmm (139)

a b c (Å): 4.849 4.849 7.316
angles (deg): 70.65 70.65 90.00
Fractional positions:
Sr 0.000 0.000 0.000
Tl 0.750 0.250 0.500
Tl 0.250 0.750 0.500
Cd 0.393 0.393 0.214
Cd 0.607 0.607 0.786

=====

14.
## Sr2TlCd (PBE)

Data for a relaxed Sr2TlCd crystal.

Final energy = -1.870 eV per atom
Space-group type = I-4m2 (119)

a b c (Å): 6.462 6.462 6.462
angles (deg): 134.15 134.15 66.85
Fractional positions:
Cd 0.750 0.250 0.500
Sr 0.000 0.000 0.000
Sr 0.250 0.750 0.500
Tl 0.500 0.500 0.000

=====

15.
## Sr8TlCd2 (PBE)

Data for a relaxed Sr8TlCd2 crystal.

Final energy = -1.735 eV per atom
ΔE to the lowest computed polymorph = 62.5 meV per atom
Space-group type = Immm (71)

a b c (Å): 5.730 9.797 10.006
angles (deg): 119.31 106.64 90.00
Fractional positions:
Sr 0.662 0.879 0.323
Sr 0.338 0.556 0.677
Sr 0.133 0.133 0.266
Sr 0.000 0.318 0.000
Sr 0.867 0.867 0.734
Sr 0.662 0.444 0.323
Sr 0.338 0.121 0.677
Sr 0.000 0.682 0.000
Tl 0.500 0.000 0.000
Cd 0.193 0.693 0.386
Cd 0.807 0.307 0.614

=====

16.
## Sr2Tl3Cd5 (PBE)

Data for a relaxed Sr2Tl3Cd5 crystal.

Final energy = -1.706 eV per atom
Space-group type = Ibam (72)

a b c (Å): 6.807 9.878 9.878
angles (deg): 80.15 69.84 69.84
Fractional positions:
Sr 0.123 0.631 0.122
Sr 0.623 0.122 0.631
Sr 0.877 0.369 0.878
Sr 0.377 0.878 0.369
Tl 0.377 0.479 0.768
Tl 0.877 0.768 0.479
Tl 0.623 0.521 0.232
Tl 0.123 0.232 0.521
Tl 0.250 0.000 0.000
Tl 0.750 0.000 0.000
Cd 0.365 0.267 0.003
Cd 0.865 0.003 0.267
Cd 0.635 0.733 0.997
Cd 0.135 0.997 0.733
Cd 0.506 0.744 0.744
Cd 0.494 0.256 0.256
Cd 0.750 0.500 0.500
Cd 0.250 0.500 0.500
Cd 0.994 0.256 0.256
Cd 0.006 0.744 0.744

=====

17.
## SrTlCd17 (PBE)

Data for a relaxed SrTlCd17 crystal.

Final energy = -1.102 eV per atom
Space-group type = R3m (160)

a b c (Å): 7.800 7.800 7.800
angles (deg): 82.72 82.72 82.72
Fractional positions:
Sr 0.338 0.338 0.338
Tl 0.657 0.657 0.657
Cd 0.300 0.999 0.704
Cd 0.704 0.300 0.999
Cd 0.999 0.704 0.300
Cd 0.300 0.704 0.999
Cd 0.999 0.300 0.704
Cd 0.704 0.999 0.300
Cd 0.366 0.825 0.366
Cd 0.366 0.366 0.825
Cd 0.825 0.366 0.366
Cd 0.648 0.143 0.648
Cd 0.648 0.648 0.143
Cd 0.143 0.648 0.648
Cd 0.016 0.483 0.016
Cd 0.016 0.016 0.483
Cd 0.483 0.016 0.016
Cd 0.891 0.891 0.891
Cd 0.095 0.095 0.095

=====

18.
## Sr2Tl3Cd2 (PBE)

Data for a relaxed Sr2Tl3Cd2 crystal.

Final energy = -2.018 eV per atom
ΔE to the lowest computed polymorph = 0.0 meV per atom
Space-group type = C2/m (12)

a b c (Å): 4.984 6.562 7.460
angles (deg): 101.50 90.00 112.32
Fractional positions:
Sr 0.618 0.236 0.319
Sr 0.382 0.764 0.681
Tl 0.294 0.587 0.144
Tl 0.000 0.000 0.000
Tl 0.706 0.413 0.856
Cd 0.096 0.191 0.655
Cd 0.904 0.809 0.345

=====

19.
## Sr6TlCd5 (PBE)

Data for a relaxed Sr6TlCd5 crystal.

Final energy = -1.772 eV per atom
Space-group type = C2/m (12)

a b c (Å): 5.759 9.968 9.968
angles (deg): 119.97 106.85 106.85
Fractional positions:
Sr 0.250 0.083 0.417
Sr 0.750 0.583 0.917
Sr 0.750 0.250 0.250
Sr 0.250 0.750 0.750
Sr 0.250 0.417 0.083
Sr 0.750 0.917 0.583
Tl 0.000 0.000 0.000
Cd 0.500 0.167 0.833
Cd 0.000 0.334 0.666
Cd 0.500 0.500 0.500
Cd 0.000 0.666 0.334
Cd 0.500 0.833 0.167

=====

20.
## SrTl3Cd8 (PBE)

Data for a relaxed SrTl3Cd8 crystal.

Final energy = -1.430 eV per atom
Space-group type = R3m (160)

a b c (Å): 6.114 6.114 10.506
angles (deg): 73.08 73.08 60.00
Fractional positions:
Sr 0.875 0.875 0.375
Tl 0.375 0.375 0.875
Tl 0.000 0.000 0.999
Tl 0.500 0.500 0.500
Cd 0.939 0.438 0.186
Cd 0.436 0.937 0.690
Cd 0.438 0.438 0.186
Cd 0.937 0.937 0.690
Cd 0.187 0.187 0.438
Cd 0.687 0.687 0.938
Cd 0.438 0.939 0.186
Cd 0.937 0.436 0.690